No. 1
First-principles (GGA-PBE) data for an optimized crystal structure of TbCoGe2, as listed in the Open Quantum Materials Database.

Calculated values
Its crystal system is orthorhombic. The space-group type is Cmcm (63). The value obtained for the calculated total energy is -5.89 eV/atom.

Cell and atoms, written as POSCAR:
```
TbCoGe2
1.0
4.149 0.000 0.000
0.000 16.562 0.000
0.000 0.000 4.165
Tb Co Ge
4 4 8
Cartesian
0.000 1.802 1.041
0.000 14.759 3.124
2.074 6.479 3.124
2.074 10.083 1.041
0.000 5.283 1.041
0.000 11.279 3.124
2.074 2.998 3.124
2.074 13.564 1.041
0.000 4.149 3.124
0.000 7.542 1.041
0.000 9.020 3.124
0.000 12.413 1.041
2.074 0.739 3.124
2.074 4.132 1.041
2.074 12.430 3.124
2.074 15.823 1.041
```

No. 2
First-principles (GGA-PBE) data for an optimized crystal structure of TbTlZnSe3, as listed in the Open Quantum Materials Database.

Calculated values
Its crystal system is orthorhombic. The space-group type is Cmcm (63). The value obtained for the calculated total energy is -4.26 eV/atom.

Cell and atoms, written as POSCAR:
```
TbTlZnSe3
1.0
2.061 -7.419 0.000
2.061 7.419 0.000
0.000 0.000 10.977
Tb Tl Zn Se
2 2 2 6
Cartesian
0.000 0.000 0.000
0.000 0.000 5.489
2.061 3.731 8.233
2.061 -3.731 2.744
2.061 0.545 2.744
2.061 -0.545 8.233
2.061 6.442 2.744
2.061 1.904 0.696
2.061 1.904 4.793
2.061 -1.904 6.184
2.061 -1.904 10.282
2.061 -6.442 8.233
```

No. 3
First-principles (GGA-PBE) data for an optimized crystal structure of Mo4AsPbC2, as listed in the Open Quantum Materials Database.

Calculated values
Its crystal system is hexagonal. The space-group type is P-6m2 (187). The value obtained for the calculated total energy is -8.71 eV/atom.

Cell and atoms, written as POSCAR:
```
Mo4AsPbC2
1.0
3.237 0.000 0.000
-1.618 2.803 0.000
0.000 0.000 12.952
Mo As Pb C
4 1 1 2
Cartesian
0.000 0.000 1.892
0.000 0.000 11.060
1.618 0.934 4.031
1.618 0.934 8.921
1.618 0.934 0.000
0.000 0.000 6.476
0.000 1.869 3.051
0.000 1.869 9.901
```